#1
# MgNi3As | the Alexandria database | PBE | relaxed
# V	16.40	Å³ per atom
data_MgNi3As
_cell_length_a 4.345
_cell_length_b 4.345
_cell_length_c 4.345
_cell_angle_alpha 90.00
_cell_angle_beta 90.00
_cell_angle_gamma 90.00
_symmetry_space_group_name_H-M 'P m -3 m'
_symmetry_Int_Tables_number 221
_symmetry_space_group_name_Hall '-P 4 2 3'
loop_
_atom_site_label
_atom_site_type_symbol
_atom_site_fract_x
_atom_site_fract_y
_atom_site_fract_z
Mg1 Mg 0.000 0.000 0.000
Ni1 Ni 0.000 0.500 0.500
As1 As 0.500 0.500 0.500

---

#2
# MgNi3As | the Alexandria database | PBE | relaxed
# V	15.45	Å³ per atom
data_MgNi3As
_cell_length_a 5.158
_cell_length_b 9.336
_cell_length_c 6.419
_cell_angle_alpha 90.00
_cell_angle_beta 90.00
_cell_angle_gamma 90.00
_symmetry_space_group_name_H-M 'I m m a'
_symmetry_Int_Tables_number 74
_symmetry_space_group_name_Hall '-I 2b 2'
loop_
_atom_site_label
_atom_site_type_symbol
_atom_site_fract_x
_atom_site_fract_y
_atom_site_fract_z
Mg1 Mg 0.000 0.250 0.080
Ni1 Ni 0.000 0.250 0.490
Ni2 Ni 0.250 0.116 0.750
As1 As 0.000 0.000 0.500

---

#3
# MgNi3As | the Alexandria database | PBE | relaxed
# V	16.35	Å³ per atom
data_MgNi3As
_cell_length_a 4.340
_cell_length_b 4.340
_cell_length_c 4.340
_cell_angle_alpha 90.00
_cell_angle_beta 90.00
_cell_angle_gamma 90.00
_symmetry_space_group_name_H-M 'P m -3 m'
_symmetry_Int_Tables_number 221
_symmetry_space_group_name_Hall '-P 4 2 3'
loop_
_atom_site_label
_atom_site_type_symbol
_atom_site_fract_x
_atom_site_fract_y
_atom_site_fract_z
Mg1 Mg 0.000 0.000 0.000
Ni1 Ni 0.000 0.000 0.500
As1 As 0.500 0.500 0.500

---

Of them, the most stable is #2 and the least stable is #3.

---

#1
# MgNiAsSe2 | the Alexandria database | PBE | relaxed
# V	24.27	Å³ per atom
data_MgNiAsSe2
_cell_length_a 4.975
_cell_length_b 4.975
_cell_length_c 4.903
_cell_angle_alpha 90.00
_cell_angle_beta 90.00
_cell_angle_gamma 90.00
_symmetry_space_group_name_H-M 'P 4/m m m'
_symmetry_Int_Tables_number 123
_symmetry_space_group_name_Hall '-P 4 2'
loop_
_atom_site_label
_atom_site_type_symbol
_atom_site_fract_x
_atom_site_fract_y
_atom_site_fract_z
Mg1 Mg 0.000 0.000 0.000
Ni1 Ni 0.500 0.500 0.500
As1 As 0.000 0.000 0.500
Se1 Se 0.000 0.500 0.000

---

#2
# MgNiAsSe2 | the Alexandria database | PBE | relaxed
# V	21.70	Å³ per atom
data_MgNiAsSe2
_cell_length_a 5.023
_cell_length_b 5.023
_cell_length_c 4.300
_cell_angle_alpha 90.00
_cell_angle_beta 90.00
_cell_angle_gamma 90.00
_symmetry_space_group_name_H-M 'P 4/m m m'
_symmetry_Int_Tables_number 123
_symmetry_space_group_name_Hall '-P 4 2'
loop_
_atom_site_label
_atom_site_type_symbol
_atom_site_fract_x
_atom_site_fract_y
_atom_site_fract_z
Mg1 Mg 0.000 0.000 0.000
Ni1 Ni 0.500 0.500 0.500
As1 As 0.500 0.500 0.000
Se1 Se 0.000 0.500 0.500

---

Of them, the most stable is #2 and the least stable is #1.

---

#1
# Mg3AsO | the Alexandria database | PBE | relaxed
# V	16.09	Å³ per atom
data_Mg3AsO
_cell_length_a 4.317
_cell_length_b 4.317
_cell_length_c 4.317
_cell_angle_alpha 90.00
_cell_angle_beta 90.00
_cell_angle_gamma 90.00
_symmetry_space_group_name_H-M 'P m -3 m'
_symmetry_Int_Tables_number 221
_symmetry_space_group_name_Hall '-P 4 2 3'
loop_
_atom_site_label
_atom_site_type_symbol
_atom_site_fract_x
_atom_site_fract_y
_atom_site_fract_z
Mg1 Mg 0.000 0.000 0.500
As1 As 0.500 0.500 0.500
O1 O 0.000 0.000 0.000

---

#2
# Mg3AsO | the Alexandria database | PBE | relaxed
# V	23.56	Å³ per atom
data_Mg3AsO
_cell_length_a 4.902
_cell_length_b 4.902
_cell_length_c 4.902
_cell_angle_alpha 90.00
_cell_angle_beta 90.00
_cell_angle_gamma 90.00
_symmetry_space_group_name_H-M 'P m -3 m'
_symmetry_Int_Tables_number 221
_symmetry_space_group_name_Hall '-P 4 2 3'
loop_
_atom_site_label
_atom_site_type_symbol
_atom_site_fract_x
_atom_site_fract_y
_atom_site_fract_z
Mg1 Mg 0.000 0.000 0.500
As1 As 0.000 0.000 0.000
O1 O 0.500 0.500 0.500

---

Of them, the most stable is #1 and the least stable is #2.

---

#1
# MgAs2O | the Alexandria database | PBE | relaxed
# V	16.03	Å³ per atom
data_MgAs2O
_cell_length_a 6.354
_cell_length_b 6.354
_cell_length_c 6.354
_cell_angle_alpha 90.00
_cell_angle_beta 90.00
_cell_angle_gamma 90.00
_symmetry_space_group_name_H-M 'F m -3 m'
_symmetry_Int_Tables_number 225
_symmetry_space_group_name_Hall '-F 4 2 3'
loop_
_atom_site_label
_atom_site_type_symbol
_atom_site_fract_x
_atom_site_fract_y
_atom_site_fract_z
Mg1 Mg 0.000 0.000 0.000
As1 As 0.250 0.250 0.250
O1 O 0.000 0.000 0.500

---

#2
# MgAs2O | the Alexandria database | PBE | relaxed
# V	20.42	Å³ per atom
data_MgAs2O
_cell_length_a 4.885
_cell_length_b 4.885
_cell_length_c 13.693
_cell_angle_alpha 90.00
_cell_angle_beta 90.00
_cell_angle_gamma 90.00
_symmetry_space_group_name_H-M 'I -4 2 d'
_symmetry_Int_Tables_number 122
_symmetry_space_group_name_Hall 'I -4 2bw'
loop_
_atom_site_label
_atom_site_type_symbol
_atom_site_fract_x
_atom_site_fract_y
_atom_site_fract_z
Mg1 Mg 0.000 0.000 0.000
As1 As 0.100 0.250 0.625
O1 O 0.000 0.000 0.500

---

Of them, the most stable is #2 and the least stable is #1.

---

#1
# MgAsP2O | the Alexandria database | PBE | relaxed
# V	17.74	Å³ per atom
data_MgAsP2O
_cell_length_a 4.938
_cell_length_b 4.938
_cell_length_c 3.638
_cell_angle_alpha 90.00
_cell_angle_beta 90.00
_cell_angle_gamma 90.00
_symmetry_space_group_name_H-M 'P 4/m m m'
_symmetry_Int_Tables_number 123
_symmetry_space_group_name_Hall '-P 4 2'
loop_
_atom_site_label
_atom_site_type_symbol
_atom_site_fract_x
_atom_site_fract_y
_atom_site_fract_z
Mg1 Mg 0.000 0.000 0.000
As1 As 0.500 0.500 0.500
P1 P 0.000 0.500 0.000
O1 O 0.000 0.000 0.500

---

#2
# MgAsP2O | the Alexandria database | PBE | relaxed
# V	17.62	Å³ per atom
data_MgAsP2O
_cell_length_a 4.930
_cell_length_b 4.930
_cell_length_c 3.624
_cell_angle_alpha 90.00
_cell_angle_beta 90.00
_cell_angle_gamma 90.00
_symmetry_space_group_name_H-M 'P 4/m m m'
_symmetry_Int_Tables_number 123
_symmetry_space_group_name_Hall '-P 4 2'
loop_
_atom_site_label
_atom_site_type_symbol
_atom_site_fract_x
_atom_site_fract_y
_atom_site_fract_z
Mg1 Mg 0.000 0.000 0.000
As1 As 0.500 0.500 0.500
P1 P 0.000 0.500 0.500
O1 O 0.500 0.500 0.000

---

Of them, the most stable is #2 and the least stable is #1.

---

#1
# MgAsSe2O | the Alexandria database | PBE | relaxed
# V	24.02	Å³ per atom
data_MgAsSe2O
_cell_length_a 4.848
_cell_length_b 4.848
_cell_length_c 5.109
_cell_angle_alpha 90.00
_cell_angle_beta 90.00
_cell_angle_gamma 90.00
_symmetry_space_group_name_H-M 'P 4/m m m'
_symmetry_Int_Tables_number 123
_symmetry_space_group_name_Hall '-P 4 2'
loop_
_atom_site_label
_atom_site_type_symbol
_atom_site_fract_x
_atom_site_fract_y
_atom_site_fract_z
Mg1 Mg 0.000 0.000 0.000
As1 As 0.000 0.000 0.500
Se1 Se 0.000 0.500 0.000
O1 O 0.500 0.500 0.500

---

#2
# MgAsSe2O | the Alexandria database | PBE | relaxed
# V	18.23	Å³ per atom
data_MgAsSe2O
_cell_length_a 4.509
_cell_length_b 4.509
_cell_length_c 4.482
_cell_angle_alpha 90.00
_cell_angle_beta 90.00
_cell_angle_gamma 90.00
_symmetry_space_group_name_H-M 'P 4/m m m'
_symmetry_Int_Tables_number 123
_symmetry_space_group_name_Hall '-P 4 2'
loop_
_atom_site_label
_atom_site_type_symbol
_atom_site_fract_x
_atom_site_fract_y
_atom_site_fract_z
Mg1 Mg 0.000 0.000 0.000
As1 As 0.500 0.500 0.000
Se1 Se 0.000 0.500 0.500
O1 O 0.500 0.500 0.500

---

Of them, the most stable is #2 and the least stable is #1.